<one>
A relaxed structure of K2NaTlAu. Source: Alexandria, functional PBE.

The space group is P4/mmm (No. 123) and the conventional cell measures 6.280, 6.280 and 5.628 Å, with angles of 90.00, 90.00 and 90.00 degrees. The distinct sites, in fractional coordinates, are K at (0.000, 0.500, 0.000), Na at (0.000, 0.000, 0.500), Tl at (0.500, 0.500, 0.500) and Au at (0.000, 0.000, 0.000).

Its spin magnetization is 0.0 μB/f.u.

<two>
A relaxed structure of K2NaTlAu. Source: Alexandria, functional PBE.

The space group is P4/mmm (No. 123) and the conventional cell measures 6.306, 6.306 and 5.780 Å, with angles of 90.00, 90.00 and 90.00 degrees. The distinct sites, in fractional coordinates, are K at (0.000, 0.500, 0.000), Na at (0.000, 0.000, 0.500), Tl at (0.500, 0.500, 0.500) and Au at (0.500, 0.500, 0.000).

Its spin magnetization is 0.0 μB/f.u.

Which of them is most stable? Easy: <two>.

<one>
A relaxed structure of KNa2ZnAu. Source: Alexandria, functional PBE.

The space group is P4/mmm (No. 123) and the conventional cell measures 6.505, 6.505 and 5.816 Å, with angles of 90.00, 90.00 and 90.00 degrees. The distinct sites, in fractional coordinates, are K at (0.000, 0.000, 0.000), Na at (0.000, 0.500, 0.000), Zn at (0.500, 0.500, 0.500) and Au at (0.000, 0.000, 0.500).

Its spin magnetization is 0.0 μB/f.u.

<two>
A relaxed structure of KNa2ZnAu. Source: Alexandria, functional PBE.

The space group is P4/mmm (No. 123) and the conventional cell measures 5.616, 5.616 and 5.042 Å, with angles of 90.00, 90.00 and 90.00 degrees. The distinct sites, in fractional coordinates, are K at (0.000, 0.000, 0.000), Na at (0.000, 0.500, 0.500), Zn at (0.500, 0.500, 0.500) and Au at (0.500, 0.500, 0.000).

Its spin magnetization is 0.0 μB/f.u.

<three>
A relaxed structure of KNa2ZnAu. Source: Alexandria, functional PBE.

The space group is P4/mmm (No. 123) and the conventional cell measures 5.678, 5.678 and 5.093 Å, with angles of 90.00, 90.00 and 90.00 degrees. The distinct sites, in fractional coordinates, are K at (0.000, 0.000, 0.000), Na at (0.000, 0.500, 0.500), Zn at (0.500, 0.500, 0.000) and Au at (0.500, 0.500, 0.500).

Its spin magnetization is 0.0 μB/f.u.

Which of them is most stable? Easy: <three>.

<one>
A relaxed structure of KNdAu2. Source: Alexandria, functional PBE.

The space group is P4/mmm (No. 123) and the conventional cell measures 5.464, 5.464 and 3.560 Å, with angles of 90.00, 90.00 and 90.00 degrees. The distinct sites, in fractional coordinates, are K at (0.000, 0.000, 0.000), Nd at (0.500, 0.500, 0.000) and Au at (0.000, 0.500, 0.500).

Its spin magnetization is 0.0 μB/f.u.

<two>
A relaxed structure of KNdAu2. Source: Alexandria, functional PBE.

The space group is P4/mmm (No. 123) and the conventional cell measures 3.821, 3.821 and 8.076 Å, with angles of 90.00, 90.00 and 90.00 degrees. The distinct sites, in fractional coordinates, are K at (0.000, 0.000, 0.000), Nd at (0.000, 0.000, 0.500) and Au at (0.500, 0.500, 0.310).

Its spin magnetization is 0.0 μB/f.u.

Which of them is most stable? Easy: <two>.

<one>
A relaxed structure of KNi2Au. Source: Alexandria, functional PBE.

The space group is Pmm2 (No. 25) and the conventional cell measures 2.846, 3.348 and 7.779 Å, with angles of 90.00, 90.00 and 90.00 degrees. The distinct sites, in fractional coordinates, are K at (0.000, 0.000, 0.000), Ni at (0.000, 0.000, 0.450), Ni at (0.500, 0.500, 0.322) and Au at (0.500, 0.500, 0.664).

Its spin magnetization is 1.1 μB/f.u.

<two>
A relaxed structure of KNi2Au. Source: Alexandria, functional PBE.

The space group is F-43m (No. 216) and the conventional cell measures 6.588, 6.588 and 6.588 Å, with angles of 90.00, 90.00 and 90.00 degrees. The distinct sites, in fractional coordinates, are K at (0.000, 0.000, 0.000), Ni at (0.000, 0.000, 0.500), Ni at (0.250, 0.250, 0.250) and Au at (0.250, 0.250, 0.750).

Its spin magnetization is 0.2 μB/f.u.

<three>
A relaxed structure of KNi2Au. Source: Alexandria, functional PBE.

The space group is P4/mmm (No. 123) and the conventional cell measures 3.301, 3.301 and 7.319 Å, with angles of 90.00, 90.00 and 90.00 degrees. The distinct sites, in fractional coordinates, are K at (0.000, 0.000, 0.000), Ni at (0.500, 0.500, 0.336) and Au at (0.000, 0.000, 0.500).

Its spin magnetization is 0.9 μB/f.u.

Which of them is most stable? Easy: <one>.

<one>
A relaxed structure of K2NiAu. Source: Alexandria, functional PBE.

The space group is P4mm (No. 99) and the conventional cell measures 3.606, 3.606 and 9.779 Å, with angles of 90.00, 90.00 and 90.00 degrees. The distinct sites, in fractional coordinates, are K at (0.000, 0.000, 0.000), K at (0.500, 0.500, 0.430), Ni at (0.000, 0.000, 0.697) and Au at (0.500, 0.500, 0.746).

Its spin magnetization is 0.0 μB/f.u.

<two>
A relaxed structure of K2NiAu. Source: Alexandria, functional PBE.

The space group is Fm-3m (No. 225) and the conventional cell measures 7.888, 7.888 and 7.888 Å, with angles of 90.00, 90.00 and 90.00 degrees. The distinct sites, in fractional coordinates, are K at (0.250, 0.250, 0.250), Ni at (0.000, 0.000, 0.000) and Au at (0.000, 0.000, 0.500).

Its spin magnetization is 0.9 μB/f.u.

Which of them is most stable? Easy: <one>.

<one>
A relaxed structure of KNiAu2. Source: Alexandria, functional PBE.

The space group is P4/mmm (No. 123) and the conventional cell measures 4.320, 4.320 and 4.183 Å, with angles of 90.00, 90.00 and 90.00 degrees. The distinct sites, in fractional coordinates, are K at (0.000, 0.000, 0.000), Ni at (0.500, 0.500, 0.000) and Au at (0.000, 0.500, 0.500).

Its spin magnetization is 0.0 μB/f.u.

<two>
A relaxed structure of KNiAu2. Source: Alexandria, functional PBE.

The space group is I4/mmm (No. 139) and the conventional cell measures 4.264, 4.264 and 8.750 Å, with angles of 90.00, 90.00 and 90.00 degrees. The distinct sites, in fractional coordinates, are K at (0.000, 0.000, 0.000), Ni at (0.000, 0.000, 0.500) and Au at (0.000, 0.500, 0.250).

Its spin magnetization is 0.4 μB/f.u.

<three>
A relaxed structure of KNiAu2. Source: Alexandria, functional PBE.

The space group is F-43m (No. 216) and the conventional cell measures 6.833, 6.833 and 6.833 Å, with angles of 90.00, 90.00 and 90.00 degrees. The distinct sites, in fractional coordinates, are K at (0.000, 0.000, 0.000), Ni at (0.250, 0.250, 0.250), Au at (0.000, 0.000, 0.500) and Au at (0.250, 0.250, 0.750).

Its spin magnetization is 0.0 μB/f.u.

Which of them is most stable? Easy: <one>.